First-principles (PBE) data for crystalline BaCa2US6 at its relaxed geometry, as listed in the Alexandria database.

M_tot	0.0	μB/cell
ΔE_f (raw)	-162.91	kJ per mole of atoms

Cell and atoms, written as extended XYZ:
```
10
Lattice="3.567 2.059 6.351 -3.567 2.059 6.351 0.000 -4.118 6.351" Properties=species:S:1:pos:R:3 pbc="T T T"
Ba 0.000 0.000 0.000
Ca 0.000 0.000 5.195
Ca 0.000 0.000 15.096
U 0.000 0.000 8.983
S -1.939 -0.327 7.328
S -1.200 -1.839 10.358
S 1.253 -1.516 7.328
S -0.993 1.958 10.358
S 0.686 1.843 7.328
S 2.192 -0.119 10.358
```